The following is a DFT calculation (PBE-GGA) of an optimized crystal structure of TlHgMoSe2.

abc: 5.3861 5.4252 5.3861
angles: 90.00 90.00 90.00
With the nearest neighbours (Å) after each atom.
Atoms (fractional coordinates):
Mo1 0.0000 0.5000 0.0000  2 Hg 2.71
Tl1 0.5000 0.5000 0.5000  4 Mo 3.81, 8 Se 3.82
Hg1 0.0000 0.0000 0.0000  4 Se 2.69, 2 Mo 2.71
Se1 0.0000 0.0000 0.5000  2 Hg 2.69
Se2 0.5000 0.0000 0.0000  2 Hg 2.69

formation energy without anion corrections: 0.9834 eV per atom
spin magnetization: 4.84 μB per formula unit

The following is a DFT calculation (PBE-GGA) of an optimized crystal structure of SiHg4Mo.

abc: 5.7626 5.7626 5.7626
angles: 60.00 60.00 60.00
With the nearest neighbours (Å) after each atom.
Atoms (fractional coordinates):
Si1 0.0000 0.0000 0.0000  12 Hg 3.38, 4 Mo 3.53
Hg1 0.8747 0.3751 0.3751  6 Hg 2.88
Hg2 0.3751 0.3751 0.8747  6 Hg 2.88
Hg3 0.3751 0.8747 0.3751  6 Hg 2.88
Hg4 0.3751 0.3751 0.3751  6 Hg 2.88
Mo1 0.7500 0.7500 0.7500  12 Hg 3.38, 4 Si 3.53

formation energy without anion corrections: 0.9258 eV per atom
spin magnetization: 3.59 μB per formula unit

The following is a DFT calculation (PBE-GGA) of an optimized crystal structure of Si3HgMo.

abc: 4.7998 4.7998 4.7998
angles: 90.00 90.00 90.00
With the nearest neighbours (Å) after each atom.
Atoms (fractional coordinates):
Mo1 0.0000 0.0000 0.0000  6 Si 2.40
Si1 0.0000 0.5000 0.0000  2 Mo 2.40
Si2 0.0000 0.0000 0.5000  2 Mo 2.40
Si3 0.5000 0.0000 0.0000  2 Mo 2.40
Hg1 0.5000 0.5000 0.5000  12 Si 3.39

ΔE to the lowest computed polymorph: 0.0 meV per atom
formation energy without anion corrections: 0.4124 eV per atom
spin magnetization: 0.00 μB per formula unit

The following is a DFT calculation (PBE-GGA) of an optimized crystal structure of Si3HgMo.

abc: 4.9544 4.9544 4.9544
angles: 90.00 90.00 90.00
With the nearest neighbours (Å) after each atom.
Atoms (fractional coordinates):
Mo1 0.5000 0.5000 0.5000  12 Si 3.50
Si1 0.0000 0.5000 0.0000  2 Hg 2.48
Si2 0.0000 0.0000 0.5000  2 Hg 2.48
Si3 0.5000 0.0000 0.0000  2 Hg 2.48
Hg1 0.0000 0.0000 0.0000  6 Si 2.48

ΔE to the lowest computed polymorph: 1431.0 meV per atom
formation energy without anion corrections: 1.8434 eV per atom
spin magnetization: 3.71 μB per formula unit

The following is a DFT calculation (PBE-GGA) of an optimized crystal structure of Si4HgMo2.

abc: 4.9421 4.9421 7.1343
angles: 69.74 69.74 90.00
With the nearest neighbours (Å) after each atom.
Atoms (fractional coordinates):
Mo1 0.5942 0.5942 0.8117  1 Mo 2.34, 1 Si 2.45
Mo2 0.4058 0.4058 0.1883  1 Mo 2.34, 1 Si 2.45
Si1 0.7914 0.7914 0.4171  1 Mo 2.45, 1 Hg 2.59
Si2 0.2086 0.2086 0.5829  1 Mo 2.45, 1 Hg 2.59
Si3 0.0000 0.5000 0.0000  2 Hg 2.47, 4 Mo 2.73
Si4 0.5000 0.0000 0.0000  2 Hg 2.47, 4 Mo 2.73
Hg1 0.0000 0.0000 0.0000  6 Si 2.47-2.59

formation energy without anion corrections: 1.2370 eV per atom
spin magnetization: 0.00 μB per formula unit

The following is a DFT calculation (PBE-GGA) of an optimized crystal structure of SiHgMo3.

abc: 4.5316 4.5316 4.5316
angles: 90.00 90.00 90.00
With the nearest neighbours (Å) after each atom.
Atoms (fractional coordinates):
Mo1 0.0000 0.5000 0.0000  2 Si 2.27
Mo2 0.0000 0.0000 0.5000  2 Si 2.27
Mo3 0.5000 0.0000 0.0000  2 Si 2.27
Si1 0.0000 0.0000 0.0000  6 Mo 2.27
Hg1 0.5000 0.5000 0.5000  12 Mo 3.20

ΔE to the lowest computed polymorph: 0.0 meV per atom
formation energy without anion corrections: 0.9941 eV per atom
spin magnetization: 0.60 μB per formula unit

The following is a DFT calculation (PBE-GGA) of an optimized crystal structure of SiHgMo3.

abc: 5.0462 5.0462 5.0462
angles: 90.00 90.00 90.00
With the nearest neighbours (Å) after each atom.
Atoms (fractional coordinates):
Mo1 0.0000 0.5000 0.0000  2 Hg 2.52
Mo2 0.0000 0.0000 0.5000  2 Hg 2.52
Mo3 0.5000 0.0000 0.0000  2 Hg 2.52
Si1 0.5000 0.5000 0.5000  12 Mo 3.57
Hg1 0.0000 0.0000 0.0000  6 Mo 2.52

ΔE to the lowest computed polymorph: 1710.9 meV per atom
formation energy without anion corrections: 2.7051 eV per atom
spin magnetization: 7.75 μB per formula unit

The following is a DFT calculation (PBE-GGA) of an optimized crystal structure of Si2HgMo2.

abc: 7.0089 7.0089 3.1731
angles: 90.00 90.00 90.00
With the nearest neighbours (Å) after each atom.
Atoms (fractional coordinates):
Mo1 0.1566 0.6566 0.5000  6 Si 2.57-2.63
Mo2 0.6566 0.8434 0.5000  6 Si 2.57-2.63
Mo3 0.8434 0.3434 0.5000  6 Si 2.57-2.63
Mo4 0.3434 0.1566 0.5000  6 Si 2.57-2.63
Si1 0.3684 0.8684 0.0000  6 Mo 2.57-2.63, 1 Si 2.61, 2 Hg 2.74
Si2 0.8684 0.6316 0.0000  6 Mo 2.57-2.63, 1 Si 2.61, 2 Hg 2.74
Si3 0.6316 0.1316 0.0000  6 Mo 2.57-2.63, 1 Si 2.61, 2 Hg 2.74
Si4 0.1316 0.3684 0.0000  6 Mo 2.57-2.63, 1 Si 2.61, 2 Hg 2.74
Hg1 0.0000 0.0000 0.0000  4 Si 2.74
Hg2 0.5000 0.5000 0.0000  4 Si 2.74

formation energy without anion corrections: 0.0930 eV per atom
spin magnetization: 0.00 μB per formula unit

The following is a DFT calculation (PBE-GGA) of an optimized crystal structure of ZrSiHg2Mo.

abc: 5.2862 4.8872 5.2862
angles: 90.00 90.00 90.00
With the nearest neighbours (Å) after each atom.
Atoms (fractional coordinates):
Mo1 0.0000 0.0000 0.0000  2 Zr 2.44, 4 Hg 2.64
Si1 0.5000 0.5000 0.5000  8 Hg 3.60, 4 Zr 3.74
Hg1 0.0000 0.0000 0.5000  2 Mo 2.64
Hg2 0.5000 0.0000 0.0000  2 Mo 2.64
Zr1 0.0000 0.5000 0.0000  2 Mo 2.44

formation energy without anion corrections: 1.1208 eV per atom
spin magnetization: 0.00 μB per formula unit

The following is a DFT calculation (PBE-GGA) of an optimized crystal structure of Sn2HgMo2.

abc: 7.3925 7.3925 3.6638
angles: 90.00 90.00 90.00
With the nearest neighbours (Å) after each atom.
Atoms (fractional coordinates):
Mo1 0.3628 0.8628 0.0000  6 Sn 2.83-2.84, 2 Hg 2.87, 1 Mo 2.87
Mo2 0.8628 0.6372 0.0000  6 Sn 2.83-2.84, 2 Hg 2.87, 1 Mo 2.87
Mo3 0.6372 0.1372 0.0000  6 Sn 2.83-2.84, 2 Hg 2.87, 1 Mo 2.87
Mo4 0.1372 0.3628 0.0000  6 Sn 2.83-2.84, 2 Hg 2.87, 1 Mo 2.87
Hg1 0.0000 0.0000 0.0000  4 Mo 2.87
Hg2 0.5000 0.5000 0.0000  4 Mo 2.87
Sn1 0.1565 0.6565 0.5000  6 Mo 2.83-2.84
Sn2 0.6565 0.8435 0.5000  6 Mo 2.83-2.84
Sn3 0.8435 0.3435 0.5000  6 Mo 2.83-2.84
Sn4 0.3435 0.1565 0.5000  6 Mo 2.83-2.84

ΔE to the lowest computed polymorph: 0.0 meV per atom
ΔH_f (0 K): 28 kJ/mol of atoms
spin magnetization: 0.00 μB per formula unit

The following is a DFT calculation (PBE-GGA) of an optimized crystal structure of SnHgMo3.

abc: 5.0575 5.0575 5.0575
angles: 90.00 90.00 90.00
With the nearest neighbours (Å) after each atom.
Atoms (fractional coordinates):
Mo1 0.0000 0.5000 0.0000  2 Hg 2.53
Mo2 0.0000 0.0000 0.5000  2 Hg 2.53
Mo3 0.5000 0.0000 0.0000  2 Hg 2.53
Hg1 0.0000 0.0000 0.0000  6 Mo 2.53
Sn1 0.5000 0.5000 0.5000  12 Mo 3.58

ΔE to the lowest computed polymorph: 184.3 meV per atom
ΔH_f (0 K): 222 kJ/mol of atoms
spin magnetization: 7.32 μB per formula unit

The following is a DFT calculation (PBE-GGA) of an optimized crystal structure of SnHgMo3.

abc: 4.9137 4.9137 4.9137
angles: 90.00 90.00 90.00
With the nearest neighbours (Å) after each atom.
Atoms (fractional coordinates):
Mo1 0.0000 0.5000 0.0000  2 Sn 2.46
Mo2 0.0000 0.0000 0.5000  2 Sn 2.46
Mo3 0.5000 0.0000 0.0000  2 Sn 2.46
Hg1 0.5000 0.5000 0.5000  12 Mo 3.47
Sn1 0.0000 0.0000 0.0000  6 Mo 2.46

ΔE to the lowest computed polymorph: 0.0 meV per atom
ΔH_f (0 K): 205 kJ/mol of atoms
spin magnetization: 0.00 μB per formula unit

The following is a DFT calculation (PBE-GGA) of an optimized crystal structure of Sn2HgMo2.

abc: 4.0513 4.0513 7.1231
angles: 73.48 73.48 90.00
With the nearest neighbours (Å) after each atom.
Atoms (fractional coordinates):
Mo1 0.4081 0.4081 0.1837  1 Mo 2.40
Mo2 0.5919 0.5919 0.8163  1 Mo 2.40
Hg1 0.0000 0.0000 0.0000  8 Mo 3.11
Sn1 0.7500 0.2500 0.5000  4 Sn 2.86, 4 Mo 2.89
Sn2 0.2500 0.7500 0.5000  4 Sn 2.86, 4 Mo 2.89

ΔE to the lowest computed polymorph: 328.5 meV per atom
ΔH_f (0 K): 60 kJ/mol of atoms
spin magnetization: 0.00 μB per formula unit

The following is a DFT calculation (PBE-GGA) of an optimized crystal structure of SnHg2Mo2.

abc: 6.9104 6.9104 4.3311
angles: 90.00 90.00 90.00
With the nearest neighbours (Å) after each atom.
Atoms (fractional coordinates):
Mo1 0.3790 0.8790 0.0000  1 Mo 2.37
Mo2 0.8790 0.6210 0.0000  1 Mo 2.37
Mo3 0.6210 0.1210 0.0000  1 Mo 2.37
Mo4 0.1210 0.3790 0.0000  1 Mo 2.37
Hg1 0.1759 0.6759 0.5000  6 Mo 2.94-3.01
Hg2 0.6759 0.8241 0.5000  6 Mo 2.94-3.01
Hg3 0.8241 0.3241 0.5000  6 Mo 2.94-3.01
Hg4 0.3241 0.1759 0.5000  6 Mo 2.94-3.01
Sn1 0.0000 0.0000 0.0000  4 Mo 2.75
Sn2 0.5000 0.5000 0.0000  4 Mo 2.75

ΔH_f (0 K): 43 kJ/mol of atoms
spin magnetization: 0.00 μB per formula unit